Material: RbPaS3
Method: DFT, PBE
State: relaxed

Values from the calculation:
* total DFT energy (no corrections): -6.144 eV per atom

a = 5.267 Å, b = 5.267 Å, c = 5.267 Å
α = 90.00°, β = 90.00°, γ = 90.00°
Element x y z (fractional)
1 Rb 0.000 0.000 0.000
2 Pa 0.500 0.500 0.500
3 S 0.000 0.500 0.500
4 S 0.500 0.000 0.500
5 S 0.500 0.500 0.000

Material: Sr2AlCo
Method: DFT, PBE
State: relaxed

Values from the calculation:
* total DFT energy (no corrections): -3.127 eV per atom

a = 5.108 Å, b = 5.108 Å, c = 5.108 Å
α = 60.00°, β = 60.00°, γ = 60.00°
Element x y z (fractional)
1 Sr 0.000 0.000 0.000
2 Sr 0.250 0.250 0.250
3 Al 0.500 0.500 0.500
4 Co 0.750 0.750 0.750

Material: Y2TcAg
Method: DFT, PBE
State: relaxed

Values from the calculation:
* ΔE_f: 0.28 eV/atom

a = 4.925 Å, b = 4.925 Å, c = 4.925 Å
α = 60.00°, β = 60.00°, γ = 60.00°
Element x y z (fractional)
1 Y 0.000 0.000 0.000
2 Y 0.250 0.250 0.250
3 Tc 0.500 0.500 0.500
4 Ag 0.750 0.750 0.750

Material: GdH20C25I2N5
Method: DFT, PBE
State: relaxed

Values from the calculation:
* total DFT energy (no corrections): -6.640 eV per atom

a = 8.884 Å, b = 11.911 Å, c = 13.977 Å
α = 94.96°, β = 90.87°, γ = 97.15°
Element x y z (fractional)
1 Gd 0.023 0.188 0.264
2 Gd 0.977 0.812 0.736
3 H 0.013 0.035 0.909
4 H 0.030 0.244 0.932
5 H 0.064 0.435 0.410
6 H 0.066 0.040 0.614
7 H 0.088 0.250 0.625
8 H 0.120 0.608 0.107
9 H 0.136 0.402 0.112
10 H 0.142 0.762 0.940
11 H 0.175 0.204 0.486
12 H 0.218 0.633 0.699
13 H 0.240 0.427 0.688
14 H 0.248 0.551 0.520
15 H 0.263 0.989 0.251
16 H 0.328 0.854 0.061
17 H 0.330 0.956 0.729
18 H 0.374 0.143 0.585
19 H 0.397 0.268 0.275
20 H 0.405 0.632 0.615
21 H 0.463 0.914 0.339
22 H 0.476 0.941 0.158
23 H 0.524 0.059 0.842
24 H 0.537 0.086 0.661
25 H 0.595 0.368 0.385
26 H 0.603 0.732 0.725
27 H 0.626 0.857 0.415
28 H 0.670 0.044 0.271
29 H 0.672 0.146 0.939
30 H 0.737 0.011 0.749
31 H 0.752 0.449 0.480
32 H 0.760 0.573 0.312
33 H 0.782 0.367 0.301
34 H 0.825 0.796 0.514
35 H 0.858 0.238 0.060
36 H 0.864 0.598 0.888
37 H 0.880 0.392 0.893
38 H 0.912 0.750 0.375
39 H 0.934 0.960 0.386
40 H 0.936 0.565 0.590
41 H 0.970 0.756 0.068
42 H 0.987 0.965 0.091
43 C 0.028 0.085 0.847
44 C 0.035 0.203 0.860
45 C 0.043 0.558 0.151
46 C 0.052 0.443 0.153
47 C 0.058 0.266 0.780
48 C 0.058 0.389 0.788
49 C 0.061 0.088 0.684
50 C 0.075 0.206 0.691
51 C 0.143 0.576 0.740
52 C 0.155 0.460 0.734
53 C 0.184 0.423 0.406
54 C 0.228 0.829 0.921
55 C 0.242 0.140 0.457
56 C 0.289 0.487 0.469
57 C 0.291 0.020 0.326
58 C 0.333 0.937 0.804
59 C 0.334 0.881 0.989
60 C 0.355 0.105 0.511
61 C 0.368 0.331 0.331
62 C 0.404 0.979 0.376
63 C 0.441 0.021 0.472
64 C 0.441 0.995 0.868
65 C 0.443 0.470 0.466
66 C 0.445 0.970 0.965
67 C 0.480 0.389 0.393
68 C 0.520 0.611 0.607
69 C 0.555 0.030 0.035
70 C 0.557 0.530 0.534
71 C 0.559 0.005 0.132
72 C 0.559 0.979 0.528
73 C 0.596 0.021 0.624
74 C 0.632 0.669 0.669
75 C 0.645 0.895 0.489
76 C 0.666 0.119 0.011
77 C 0.667 0.063 0.196
78 C 0.709 0.980 0.674
79 C 0.711 0.513 0.531
80 C 0.758 0.860 0.543
81 C 0.772 0.171 0.079
82 C 0.816 0.577 0.594
83 C 0.845 0.540 0.266
84 C 0.857 0.424 0.260
85 C 0.925 0.794 0.309
86 C 0.939 0.912 0.316
87 C 0.942 0.611 0.212
88 C 0.942 0.734 0.220
89 C 0.948 0.557 0.847
90 C 0.957 0.442 0.849
91 C 0.965 0.797 0.140
92 C 0.972 0.915 0.153
93 I 0.163 0.791 0.554
94 I 0.225 0.177 0.093
95 I 0.775 0.823 0.907
96 I 0.837 0.209 0.446
97 N 0.036 0.027 0.761
98 N 0.038 0.624 0.792
99 N 0.207 0.100 0.364
100 N 0.219 0.344 0.337
101 N 0.223 0.856 0.829
102 N 0.777 0.144 0.171
103 N 0.781 0.656 0.663
104 N 0.793 0.900 0.636
105 N 0.962 0.376 0.208
106 N 0.964 0.973 0.239

Material: HgBPd
Method: DFT, PBE
State: relaxed

Values from the calculation:
* total DFT energy (no corrections): -3.464 eV per atom

a = 4.000 Å, b = 4.000 Å, c = 4.000 Å
α = 60.00°, β = 60.00°, γ = 60.00°
Element x y z (fractional)
1 Hg 0.000 0.000 0.000
2 B 0.250 0.250 0.250
3 Pd 0.500 0.500 0.500

Material: NbFe2
Method: DFT, PBE
State: relaxed

Values from the calculation:
* ΔE_f: -0.13 eV/atom

a = 4.794 Å, b = 4.794 Å, c = 4.794 Å
α = 60.00°, β = 60.00°, γ = 60.00°
Element x y z (fractional)
1 Nb 0.125 0.125 0.125
2 Nb 0.875 0.875 0.875
3 Fe 0.000 0.500 0.500
4 Fe 0.500 0.000 0.500
5 Fe 0.500 0.500 0.000
6 Fe 0.500 0.500 0.500

Material: CdBiAsO
Method: DFT, PBE
State: relaxed

Values from the calculation:
* energy relative to the lowest polymorph listed for this composition: 0.57 eV/f.u.

a = 4.120 Å, b = 4.120 Å, c = 10.889 Å
α = 90.00°, β = 90.00°, γ = 90.00°
Element x y z (fractional)
1 Cd 0.250 0.250 0.122
2 Cd 0.750 0.750 0.878
3 Bi 0.250 0.250 0.605
4 Bi 0.750 0.750 0.395
5 As 0.250 0.250 0.867
6 As 0.750 0.750 0.133
7 O 0.250 0.750 0.500
8 O 0.750 0.250 0.500

Material: ZrHg2Ge
Method: DFT, PBE
State: relaxed

Values from the calculation:
* total DFT energy (no corrections): -3.298 eV per atom

a = 4.948 Å, b = 4.948 Å, c = 4.948 Å
α = 60.00°, β = 60.00°, γ = 60.00°
Element x y z (fractional)
1 Zr 0.000 0.000 0.000
2 Hg 0.250 0.250 0.250
3 Hg 0.500 0.500 0.500
4 Ge 0.750 0.750 0.750

Number 5 is which compound? HgBPd